1.
Computed, not measured: a relaxed structure of YSc2Au at the PBE-GGA level of DFT.

Calculated values
Symmetry: Amm2, No. 38
Relative energy among the computed polymorphs: 37.7 kJ/mol of formula units
Formation enthalpy at 0 K: -0.324 eV per atom

```
YSc2Au
1.0
4.4314 0.0000 0.0000
0.0000 1.8506 5.9969
0.0000 -1.8506 5.9969
Y Sc Au
1 2 1
Direct
0.0000 0.0000 0.0000 Y
0.0000 0.7317 0.7317 Sc
0.5000 0.3411 0.3411 Sc
0.5000 0.5891 0.5891 Au
```

***

2.
Computed, not measured: a relaxed structure of Li2ErPd3 at the PBE-GGA level of DFT.

Calculated values
Symmetry: Cmmm, No. 65
Relative energy among the computed polymorphs: 0.0 kJ/mol of formula units
Formation enthalpy at 0 K: -0.640 eV per atom

```
Li2ErPd3
1.0
2.1636 -6.5301 0.0000
2.1636 6.5301 0.0000
0.0000 0.0000 6.8470
Li Er Pd
4 2 6
Direct
0.0000 0.0000 0.0000 Li
0.0000 0.0000 0.5000 Li
0.3296 0.6704 0.0000 Li
0.6704 0.3296 0.0000 Li
0.3469 0.6531 0.5000 Er
0.6531 0.3469 0.5000 Er
0.1648 0.8352 0.2295 Pd
0.1648 0.8352 0.7705 Pd
0.5000 0.5000 0.2182 Pd
0.5000 0.5000 0.7818 Pd
0.8352 0.1648 0.2295 Pd
0.8352 0.1648 0.7705 Pd
```